VASP calculation (PBE-GGA) on TaSO2 after structural relaxation.

POSCAR file:
```
TaSO2
1.0
1.5015 -6.1159 0.0000
1.5015 6.1159 0.0000
0.0000 0.0000 6.3135
Ta S O
2 2 4
Direct
0.2458 0.7542 0.7500
0.7542 0.2458 0.2500
0.4275 0.5725 0.2500
0.5725 0.4275 0.7500
0.1834 0.8166 0.0702
0.1834 0.8166 0.4298
0.8166 0.1834 0.5702
0.8166 0.1834 0.9298
```

Results
space-group type	Cmcm, No. 63
formation energy (no corrections)	-1681	meV/atom
final energy	-65.2	eV/cell